(1)
An optimized crystal structure of Ce4Ge2AsSe. Source: Alexandria via LeMat-Bulk, functional PBE.

Computed properties:
formation energy (no corrections)	-112.9	kJ/mol of atoms
density	6.68	g/cm3

abc: 4.232 7.313 7.324
angles: 70.48 90.00 90.00
Site moments in Bohr magnetons follow the coordinates.
Fractional positions:
Ge 0.000 0.000 0.000  -0.04
Ge 0.500 0.000 0.500  -0.03
As 0.500 0.500 0.000  -0.02
Ce 0.500 0.247 0.753  0.54
Ce 0.000 0.249 0.248  0.48
Ce 0.000 0.751 0.752  0.48
Ce 0.500 0.753 0.247  0.54
Se 0.000 0.500 0.500  -0.02

---

(2)
An optimized crystal structure of TiCuSnS4. Source: Alexandria via LeMat-Bulk, functional PBE.

Computed properties:
formation energy (no corrections)	-72.1	kJ/mol of atoms
density	4.26	g/cm3

abc: 7.363 7.363 7.363
angles: 121.88 119.43 88.88
Fractional positions:
Cu 0.379 0.629 0.750
Cu 0.621 0.371 0.250
Ti 0.000 0.500 0.000
Ti 0.000 0.000 0.500
S 0.232 0.241 0.509
S 0.765 0.250 0.515
S 0.768 0.278 0.009
S 0.235 0.750 0.485
S 0.235 0.250 0.985
S 0.768 0.759 0.491
S 0.765 0.750 0.015
S 0.232 0.722 0.991
Sn 0.500 0.000 0.500
Sn 0.000 0.000 0.000

---

(3)
An optimized crystal structure of ZrI2O2. Source: Alexandria via LeMat-Bulk, functional PBE.

Computed properties:
formation energy (no corrections)	45.1	kJ/mol of atoms
density	6.66	g/cm3

abc: 4.905 4.905 3.904
angles: 90.00 90.00 90.00
Fractional positions:
O 0.000 0.000 0.500
O 0.000 0.000 0.000
I 0.000 0.500 0.000
I 0.500 0.000 0.000
Zr 0.500 0.500 0.500

---

(4)
An optimized crystal structure of PrSm3Pt. Source: Alexandria via LeMat-Bulk, functional PBE.

Computed properties:
density	8.56	g/cm3
ΔE_f	-421	meV per atom

abc: 5.231 6.654 8.829
angles: 83.59 90.00 90.00
Fractional positions:
Sm 0.375 0.844 0.434
Sm 0.876 0.942 0.705
Sm 0.376 0.893 0.010
Sm 0.876 0.460 0.891
Sm 0.376 0.411 0.197
Sm 0.875 0.509 0.467
Pt 0.376 0.698 0.747
Pt 0.876 0.655 0.155
Pr 0.876 0.071 0.242
Pr 0.376 0.282 0.659

---

(5)
An optimized crystal structure of AcPm12Pb6. Source: Alexandria via LeMat-Bulk, functional PBE.

Computed properties:
density	7.83	g/cm3
ΔE_f	-230	meV per atom

abc: 9.109 9.109 9.109
angles: 103.47 103.47 103.47
Fractional positions:
Pb 0.709 0.250 0.250
Pb 0.291 0.750 0.750
Pb 0.750 0.291 0.750
Pb 0.750 0.750 0.291
Pb 0.250 0.250 0.709
Pb 0.250 0.709 0.250
Ac 0.000 0.000 0.000
Pm 0.436 0.173 0.436
Pm 0.564 0.564 0.827
Pm 0.827 0.564 0.564
Pm 0.436 0.436 0.173
Pm 0.173 0.436 0.436
Pm 0.500 0.881 0.119
Pm 0.119 0.881 0.500
Pm 0.881 0.500 0.119
Pm 0.119 0.500 0.881
Pm 0.500 0.119 0.881
Pm 0.881 0.119 0.500
Pm 0.564 0.827 0.564

---

(6)
An optimized crystal structure of LiZr4Sc. Source: Alexandria via LeMat-Bulk, functional PBE.

Computed properties:
density	4.76	g/cm3
ΔE_f	375	meV per atom

abc: 5.904 5.904 5.904
angles: 60.00 60.00 60.00
Fractional positions:
Zr 0.373 0.882 0.373
Zr 0.882 0.373 0.373
Zr 0.373 0.373 0.882
Zr 0.373 0.373 0.373
Li 0.750 0.750 0.750
Sc 0.000 0.000 0.000